No. 1
Ca3AcCd8 | GGA-PBE | relaxed

Unit cell a=10.5575 b=10.5575 c=10.5575 alpha=33.49 beta=33.49 gamma=33.49
Closest atoms and distances in Å follow each position.
Atoms (fractional coordinates):
Ca (0.0000, 0.0000, 0.0000)  12 Cd 3.56-3.66, 1 Ca 3.70, 3 Ac 3.75
Ca (0.1239, 0.1239, 0.1239)  12 Cd 3.51-3.56, 4 Ca 3.70
Ca (0.4966, 0.4966, 0.4966)  12 Cd 3.50-3.57, 3 Ca 3.70, 1 Ac 3.76
Ac (0.6223, 0.6223, 0.6223)  12 Cd 3.57-3.63, 4 Ca 3.75-3.76
Cd (0.0600, 0.0600, 0.5575)  6 Cd 3.03-3.09
Cd (0.0600, 0.5575, 0.0600)  6 Cd 3.03-3.09
Cd (0.0633, 0.5610, 0.5610)  6 Cd 3.01-3.06
Cd (0.3110, 0.3110, 0.3110)  6 Cd 3.06-3.09
Cd (0.5575, 0.0600, 0.0600)  6 Cd 3.03-3.09
Cd (0.5610, 0.0633, 0.5610)  6 Cd 3.01-3.06
Cd (0.5610, 0.5610, 0.0633)  6 Cd 3.01-3.06
Cd (0.8102, 0.8102, 0.8102)  6 Cd 3.01-3.03

- Total magnetization: 0.00 Bohr magnetons per cell
- Energy of formation: -0.305 eV/atom
- Electronic total energy: -21.09 eV for the cell shown
- Relative energy among the computed polymorphs: 0.009 eV/atom
- SG: R3m, No. 160



No. 2
LiTa2Br | GGA-PBE | relaxed

Unit cell a=9.7692 b=9.7692 c=9.7692 alpha=17.69 beta=17.69 gamma=17.69
Closest atoms and distances in Å follow each position.
Atoms (fractional coordinates):
Li (0.0000, 0.0000, 0.0000)  6 Li 3.00, 6 Ta 3.10
Ta (0.2442, 0.2442, 0.2442)  3 Br 2.83, 6 Ta 3.00, 3 Li 3.10
Ta (0.7558, 0.7558, 0.7558)  3 Br 2.83, 6 Ta 3.00, 3 Li 3.10
Br (0.5000, 0.5000, 0.5000)  6 Ta 2.83, 6 Br 3.00

- E_form (uncorrected): 2.24 eV/f.u.
- Total magnetization: 0.00 Bohr magnetons per cell
- Electronic total energy: -25.06 eV for the cell shown
- Relative energy among the computed polymorphs: 0.501 eV/atom
- SG: R-3m, No. 166